# 1
A relaxed HfBH crystal. Source: the Alexandria database, functional PBE.

a b c (Å): 3.4661 5.8934 6.1351
angles (deg): 90.00 90.00 90.00
Sites, in units of the cell vectors:
Hf (0.0000, 0.0000, 0.0000)
Hf (0.0000, 0.0000, 0.5000)
Hf (0.5000, 0.5000, 0.0000)
Hf (0.5000, 0.5000, 0.5000)
B (0.0000, 0.3353, 0.2500)
B (0.0000, 0.6647, 0.7500)
B (0.5000, 0.1647, 0.7500)
B (0.5000, 0.8353, 0.2500)
H (0.0000, 0.4492, 0.7500)
H (0.0000, 0.5508, 0.2500)
H (0.5000, 0.0508, 0.2500)
H (0.5000, 0.9492, 0.7500)

Summary:
Its space-group type is Cmcm. The value obtained for the energy above the lowest structure with this stoichiometry is 0.606 eV per atom.


# 2
A relaxed HfBH crystal. Source: the Alexandria database, functional PBE.

a b c (Å): 3.3162 10.9869 3.1302
angles (deg): 90.00 90.00 90.00
Sites, in units of the cell vectors:
Hf (0.0000, 0.1291, 0.2500)
Hf (0.0000, 0.8709, 0.7500)
Hf (0.5000, 0.3709, 0.7500)
Hf (0.5000, 0.6291, 0.2500)
B (0.0000, 0.4647, 0.2500)
B (0.0000, 0.5353, 0.7500)
B (0.5000, 0.0353, 0.7500)
B (0.5000, 0.9647, 0.2500)
H (0.0000, 0.2528, 0.7500)
H (0.0000, 0.7472, 0.2500)
H (0.5000, 0.2472, 0.2500)
H (0.5000, 0.7528, 0.7500)

Summary:
Its space-group type is Cmcm. The value obtained for the energy above the lowest structure with this stoichiometry is 0.032 eV per atom.


# 3
A relaxed HfB2H crystal. Source: the Alexandria database, functional PBE.

a b c (Å): 3.2377 3.0701 7.3558
angles (deg): 90.00 99.84 90.00
Sites, in units of the cell vectors:
Hf (0.1795, 0.2500, 0.3257)
Hf (0.8205, 0.7500, 0.6743)
B (0.1025, 0.2500, 0.9477)
B (0.3717, 0.7500, 0.9222)
B (0.6283, 0.2500, 0.0778)
B (0.8975, 0.7500, 0.0523)
H (0.3174, 0.2500, 0.6078)
H (0.6826, 0.7500, 0.3922)

Summary:
Its space-group type is P2_1/m. The value obtained for the energy above the lowest structure with this stoichiometry is 0.000 eV per atom.


# 4
A relaxed HfBH3 crystal. Source: the Alexandria database, functional PBE.

a b c (Å): 3.1784 3.1784 3.1784
angles (deg): 90.00 90.00 90.00
Sites, in units of the cell vectors:
Hf (0.0000, 0.0000, 0.0000)
B (0.5000, 0.5000, 0.5000)
H (0.0000, 0.5000, 0.5000)
H (0.5000, 0.0000, 0.5000)
H (0.5000, 0.5000, 0.0000)

Summary:
Its space-group type is Pm-3m. The value obtained for the energy above the lowest structure with this stoichiometry is 0.534 eV per atom.